# TaVZn3

TaVZn3 after structural relaxation (PBE-GGA, the Alexandria database).

Cell lengths 4.934, 4.934, 4.934 Å; angles 90.00, 90.00, 90.00 degrees
Space group Pm-3m (No. 221)
Asymmetric unit:
Ta  0.000  0.000  0.000
V  0.500  0.500  0.500
Zn  0.000  0.000  0.500

Computed properties:
V: 24.02 A^3/atom
Calculated total energy: -3.533 eV per atom
Density: 5.92 g/cm3
Polymorph energy (0 for the lowest one): 0.69 eV per formula unit
DFT formation energy: 1.426 eV/atom

***

# Pu6Pt5

Pu6Pt5 after structural relaxation (PBE-GGA, the Alexandria database).

Cell lengths 4.934, 6.990, 14.848 Å; angles 90.00, 90.00, 90.00 degrees
Space group Immm (No. 71)
Asymmetric unit:
Pu  0.000  0.245  0.000
Pu  0.000  0.252  0.332
Pt  0.000  0.000  0.169
Pt  0.000  0.500  0.160
Pt  0.000  0.500  0.500

Computed properties:
V: 23.28 A^3/atom
Calculated total energy: -11.201 eV per atom
Density: 15.82 g/cm3
Polymorph energy (0 for the lowest one): 0.00 eV per formula unit
DFT formation energy: -0.638 eV/atom

***

# Li2PW

Li2PW after structural relaxation (PBE-GGA, the Alexandria database).

Cell lengths 5.862, 5.862, 5.862 Å; angles 90.00, 90.00, 90.00 degrees
Space group F-43m (No. 216)
Asymmetric unit:
Li  0.000  0.000  0.000
Li  0.250  0.250  0.250
P  0.250  0.250  0.750
W  0.000  0.000  0.500

Computed properties:
V: 12.59 A^3/atom
Calculated total energy: -5.410 eV per atom
Density: 7.54 g/cm3
DFT formation energy: 0.138 eV/atom

***

# Pr2SmTm3Sb6

Pr2SmTm3Sb6 after structural relaxation (PBE-GGA, the Alexandria database).

Cell lengths 19.311, 4.437, 8.861 Å; angles 90.00, 103.08, 90.00 degrees
Space group C2/m (No. 12)
Asymmetric unit:
Pr  0.166  0.000  0.333
Sm  0.000  0.500  0.000
Tm  0.000  0.500  0.500
Tm  0.167  0.000  0.833
Sb  0.004  0.000  0.746
Sb  0.164  0.500  0.591
Sb  0.168  0.500  0.074

Computed properties:
V: 30.82 A^3/atom
Calculated total energy: -5.490 eV per atom
Density: 7.50 g/cm3
Formation energy from raw total energies: -1.12 eV/atom

***

# Li2CoBr

Li2CoBr after structural relaxation (PBE-GGA, the Alexandria database).

Cell lengths 6.664, 6.664, 6.664 Å; angles 90.00, 90.00, 90.00 degrees
Space group Fm-3m (No. 225)
Asymmetric unit:
Li  0.250  0.250  0.250
Co  0.000  0.000  0.000
Br  0.000  0.000  0.500

Computed properties:
V: 18.49 A^3/atom
Calculated total energy: -3.029 eV per atom
Density: 3.43 g/cm3
Polymorph energy (0 for the lowest one): 1.03 eV per formula unit
Formation energy from raw total energies: 0.12 eV/atom

***

# Sm2Dy3Cu2

Sm2Dy3Cu2 after structural relaxation (PBE-GGA, the Alexandria database).

Cell lengths 12.589, 3.650, 9.076 Å; angles 90.00, 117.24, 90.00 degrees
Space group C2/m (No. 12)
Asymmetric unit:
Sm  0.156  0.000  0.313
Dy  0.000  0.500  0.500
Dy  0.115  0.500  0.944
Cu  0.166  0.000  0.732

Computed properties:
V: 26.49 A^3/atom
Calculated total energy: -4.603 eV per atom
Density: 8.20 g/cm3
DFT formation energy: -0.112 eV/atom